[1]
Crystalline Ir3Os2 at its relaxed geometry. Source: Alexandria, functional GGA-PBE.

## Properties
**Energy above the lowest structure with this stoichiometry**: 956 meV/atom
**Total magnetic moment**: 0.0 μB/f.u.

abc: 3.7196 3.7196 21.5888
angles: 90.00 90.00 120.00
Space group R-3m (No. 166, hexagonal axes)
Unique sites:
Ir 0.0000 0.0000 0.0000 [3 per cell]
Ir 0.0000 0.0000 0.2095 [6 per cell]
Os 0.0000 0.0000 0.4027 [6 per cell]

---

[2]
Crystalline IrOs at its relaxed geometry. Source: Alexandria, functional GGA-PBE.

## Properties
**Calculated total energy**: -9.52 eV/atom
**Total magnetic moment**: 0.0 μB/f.u.

abc: 6.350 3.801 8.123
angles: 90.00 90.00 90.00
Space group Pmn2_1 (No. 31)
Unique sites:
Ir 0.000 0.112 0.000 [2 per cell]
Ir 0.200 0.382 0.501 [4 per cell]
Os 0.000 0.608 0.778 [2 per cell]
Os 0.198 0.885 0.278 [4 per cell]

---

[3]
Crystalline Ir2Os at its relaxed geometry. Source: Alexandria, functional GGA-PBE.

## Properties
**Energy above the lowest structure with this stoichiometry**: 1080 meV/atom
**Total magnetic moment**: 0.0 μB/f.u.

abc: 3.6243 3.6243 4.5203
angles: 90.00 90.00 120.00
Space group P-3m1 (No. 164)
Unique sites:
Ir 0.3333 0.6667 0.3051 [2 per cell]
Os 0.0000 0.0000 0.0000 [1 per cell]

---

[4]
Crystalline Ir5Os at its relaxed geometry. Source: Alexandria, functional GGA-PBE.

## Properties
**Energy above the lowest structure with this stoichiometry**: 788 meV/atom
**Total magnetic moment**: 0.0 μB/f.u.

abc: 7.199 7.199 7.199
angles: 90.00 90.00 90.00
Space group F-43m (No. 216)
Unique sites:
Ir 0.000 0.000 0.000 [4 per cell]
Ir 0.125 0.125 0.375 [16 per cell]
Os 0.250 0.250 0.750 [4 per cell]

---

Which value of total magnetic moment does entry 2 give?
0.0 μB/f.u.